[1]
5
Lattice="5.412 0.000 0.000 0.000 5.412 0.000 0.000 0.000 5.412" Properties=species:S:1:pos:R:3 comment="meta-GGA SCAN Y3HfGa, single point on PBEsol structure" e_form_ev_per_atom=0.711 sg="Pm-3m, No. 221" e_above_lowest_polymorph_kj_per_mol_atoms=31.3 pbc="T T T"
Y 0.000 0.000 2.706
Y 0.000 2.706 0.000
Y 2.706 0.000 0.000
Hf 0.000 0.000 0.000
Ga 2.706 2.706 2.706

=====

[2]
4
Lattice="5.020 -1.320 0.000 5.020 1.320 0.000 -1.354 0.000 4.676" Properties=species:S:1:pos:R:3 comment="meta-GGA SCAN CaCu2W, single point on PBEsol structure" e_form_ev_per_atom=0.529 sg="Cm, No. 8" e_above_lowest_polymorph_kj_per_mol_atoms=11.3 pbc="T T T"
Ca 0.000 0.000 0.000
Cu 3.967 0.000 2.284
Cu 7.436 0.000 0.720
W 1.285 0.000 2.871

=====

[3]
4
Lattice="0.000 2.992 2.992 2.992 0.000 2.992 2.992 2.992 0.000" Properties=species:S:1:pos:R:3 comment="meta-GGA SCAN MgZn2Co, single point on PBEsol structure" e_form_ev_per_atom=-0.037 sg="F-43m, No. 216" pbc="T T T"
Mg 0.000 0.000 0.000
Zn 2.992 2.992 2.992
Zn 4.488 4.488 4.488
Co 1.496 1.496 1.496

=====

[4]
28
Lattice="3.015 0.000 0.000 0.000 9.328 0.000 0.000 0.000 9.247" Properties=species:S:1:pos:R:3 comment="meta-GGA SCAN ZnFeBO4, single point on PBEsol structure" raw_formation_energy_kcal_per_mol_atoms=-44.5 sg="Pmc2_1, No. 26" pbc="T T T"
Zn 0.000 0.484 0.000
Zn 0.000 2.942 4.496
Zn 0.000 6.385 9.119
Zn 0.000 8.844 4.623
Fe 1.507 1.733 6.730
Fe 1.507 4.127 1.893
Fe 1.507 5.201 6.516
Fe 1.507 7.595 2.107
B 0.000 3.494 8.608
B 0.000 5.834 3.984
B 1.507 1.171 2.424
B 1.507 8.157 7.047
O 0.000 1.240 5.711
O 0.000 2.261 7.947
O 0.000 3.541 0.726
O 0.000 4.639 3.292
O 0.000 4.688 7.915
O 0.000 5.787 5.350
O 0.000 7.067 3.324
O 0.000 8.088 1.088
O 1.507 0.045 7.756
O 1.507 1.193 1.073
O 1.507 2.375 3.132
O 1.507 3.394 5.880
O 1.507 5.934 1.257
O 1.507 6.953 7.755
O 1.507 8.135 5.697
O 1.507 9.283 3.133

=====

[5]
10
Lattice="8.385 0.000 0.000 0.000 8.385 0.000 0.000 0.000 4.075" Properties=species:S:1:pos:R:3 comment="meta-GGA SCAN SrCa2Ga2, single point on PBEsol structure" e_form_ev_per_atom=-0.355 sg="P4/mbm, No. 127" e_above_lowest_polymorph_kj_per_mol_atoms=0.0 pbc="T T T"
Sr 0.000 0.000 0.000
Sr 4.193 4.193 0.000
Ca 1.453 2.739 2.037
Ca 2.739 6.932 2.037
Ca 5.646 1.453 2.037
Ca 6.932 5.646 2.037
Ga 0.960 5.152 0.000
Ga 3.233 0.960 0.000
Ga 5.152 7.426 0.000
Ga 7.426 3.233 0.000

=====

[6]
4
Lattice="0.000 4.080 4.080 4.080 0.000 4.080 4.080 4.080 0.000" Properties=species:S:1:pos:R:3 comment="meta-GGA SCAN BaSrMg2, single point on PBEsol structure" e_form_ev_per_atom=0.011 sg="F-43m, No. 216" e_above_lowest_polymorph_kj_per_mol_atoms=5.8 pbc="T T T"
Ba 0.000 0.000 0.000
Sr 2.040 2.040 2.040
Mg 4.080 4.080 4.080
Mg 6.120 6.120 6.120

=====

[7]
4
Lattice="3.347 0.000 0.000 0.000 4.038 0.000 0.000 0.000 6.303" Properties=species:S:1:pos:R:3 comment="meta-GGA SCAN SrLi2P, single point on PBEsol structure" e_form_ev_per_atom=-0.241 sg="Pmmm, No. 47" pbc="T T T"
Sr 0.000 0.000 0.000
Li 1.673 2.019 2.035
Li 1.673 2.019 4.268
P 0.000 0.000 3.152

=====

[8]
5
Lattice="-1.654 1.654 8.617 1.654 -1.654 8.617 1.654 1.654 -8.617" Properties=species:S:1:pos:R:3 comment="meta-GGA SCAN Y2GaCo2, single point on PBEsol structure" e_form_ev_per_atom=-0.160 sg="I4/mmm, No. 139" pbc="T T T"
Y 0.000 0.000 1.984
Y 0.000 0.000 15.250
Ga 0.000 0.000 8.617
Co 1.654 0.000 4.309
Co 0.000 1.654 4.309

=====

[9]
3
Lattice="0.000 2.920 2.920 2.920 0.000 2.920 2.920 2.920 0.000" Properties=species:S:1:pos:R:3 comment="meta-GGA SCAN ZrCoTc, single point on PBEsol structure" e_form_ev_per_atom=0.227 sg="F-43m, No. 216" pbc="T T T"
Zr 0.000 0.000 0.000
Co 1.460 1.460 1.460
Tc 2.920 2.920 2.920

=====

[10]
24
Lattice="9.740 0.000 0.000 -4.870 8.435 0.000 0.000 0.000 6.136" Properties=species:S:1:pos:R:3 comment="meta-GGA SCAN Pr3AlCoS7, single point on PBEsol structure" raw_formation_energy_kcal_per_mol_atoms=-42.2 sg="P6_3, No. 173" pbc="T T T"
Pr -2.267 6.630 0.000
Pr 0.262 3.157 0.000
Pr 2.865 1.352 3.068
Pr 2.005 7.084 0.000
Pr 4.608 5.278 3.068
Pr 7.137 1.805 3.068
Al 0.000 5.624 3.542
Al 4.870 2.812 0.474
Co 0.000 0.000 1.014
Co 0.000 0.000 4.082
S -1.696 4.424 4.395
S -3.369 7.405 2.534
S 0.142 1.816 2.534
S 1.643 0.785 5.601
S 0.000 5.624 1.329
S -0.191 7.692 4.395
S 1.887 4.755 4.395
S 2.983 3.680 1.328
S 5.061 0.743 1.328
S 4.870 2.812 4.397
S 3.227 7.650 2.534
S 4.728 6.620 5.601
S 8.239 1.031 5.601
S 6.566 4.011 1.328

=====

[11]
4
Lattice="3.061 -3.453 0.000 3.061 3.453 0.000 0.000 0.000 3.242" Properties=species:S:1:pos:R:3 comment="meta-GGA SCAN AlCdAu2, single point on PBEsol structure" e_form_ev_per_atom=-0.306 sg="Cmmm, No. 65" e_above_lowest_polymorph_kj_per_mol_atoms=9.2 pbc="T T T"
Al 0.000 0.000 0.000
Cd 3.061 0.000 0.000
Au 1.531 1.726 1.621
Au 1.531 -1.726 1.621

=====

[12]
22
Lattice="2.247 -7.997 0.000 2.247 7.997 0.000 0.000 0.000 18.252" Properties=species:S:1:pos:R:3 comment="meta-GGA SCAN CsTb2Ag3Te5, single point on PBEsol structure" raw_formation_energy_kcal_per_mol_atoms=-22.7 sg="Cmcm, No. 63" pbc="T T T"
Cs 2.247 7.068 13.689
Cs 2.247 -7.068 4.563
Tb 2.247 4.959 1.697
Tb 2.247 4.959 7.429
Tb 2.247 -4.959 10.824
Tb 2.247 -4.959 16.555
Ag 2.247 2.537 13.689
Ag 2.247 1.393 0.561
Ag 2.247 1.393 8.565
Ag 2.247 -1.393 9.688
Ag 2.247 -1.393 17.691
Ag 2.247 -2.537 4.563
Te 2.247 5.177 10.481
Te 2.247 5.177 16.898
Te 2.247 3.910 4.563
Te 2.247 0.963 11.312
Te 2.247 0.963 16.067
Te 2.247 -0.963 2.185
Te 2.247 -0.963 6.941
Te 2.247 -3.910 13.689
Te 2.247 -5.177 1.355
Te 2.247 -5.177 7.771